A plane-wave DFT calculation with PBEsol was carried out for ZnSbRh2 after structural relaxation.

a b c (Å): 4.1391 4.1391 3.4855
angles (deg): 90.00 90.00 90.00
Fractional positions:
Zn1 0.0000 0.0000 0.0000
Sb1 0.5000 0.5000 0.0000
Rh1 0.0000 0.5000 0.5000
Rh2 0.5000 0.0000 0.5000

Calculated values
ΔE_f (raw) in meV/atom: -355.1
Symmetry: P4/mmm
M_tot in μB/cell: 0.00